No. 1
Here is a relaxed structure of LiZr2Cd12 from Alexandria. Energies are from PBE-GGA.

Magnetization: 0.00 μB/f.u.
Space group: Pmmm, No. 47
E_form: -0.021 eV/atom

Lattice parameters (Å, degrees): 5.717 5.717 22.940 90.00 90.00 115.26
Element x y z (fractional)
Cd  0.250  0.750  0.118
Cd  0.000  0.000  0.312
Li  0.000  0.500  0.000
Cd  0.000  0.000  0.688
Zr  0.500  0.000  0.251
Cd  0.500  0.500  0.812
Cd  0.250  0.250  0.563
Cd  0.250  0.750  0.617
Cd  0.750  0.750  0.935
Zr  0.000  0.500  0.251
Cd  0.750  0.250  0.383
Cd  0.250  0.250  0.437
Cd  0.750  0.250  0.118
Cd  0.000  0.000  0.812
Cd  0.750  0.750  0.563
Cd  0.500  0.500  0.312
Cd  0.250  0.250  0.935
Cd  0.250  0.750  0.383
Zr  0.500  0.000  0.749
Cd  0.750  0.250  0.617
Cd  0.750  0.750  0.065
Cd  0.500  0.500  0.188
Cd  0.500  0.500  0.688
Cd  0.250  0.750  0.882
Cd  0.750  0.250  0.882
Cd  0.250  0.250  0.065
Li  0.500  0.000  0.000
Zr  0.000  0.500  0.749
Cd  0.750  0.750  0.437
Cd  0.000  0.000  0.188

No. 2
Here is a relaxed structure of Y6Pt2N from Alexandria. Energies are from PBE-GGA.

Final energy: -7.566 eV per atom
Magnetization: 0.00 μB/f.u.
Space group: P2_1/c, No. 14

Lattice parameters (Å, degrees): 6.533 7.035 9.516 90.00 88.75 90.00
Element x y z (fractional)
Y  0.888  0.969  0.742
Y  0.388  0.531  0.242
Y  0.195  0.320  0.945
Y  0.695  0.180  0.445
Pt  0.537  0.910  0.253
Y  0.612  0.469  0.758
Y  0.179  0.302  0.557
Y  0.321  0.802  0.943
Y  0.305  0.820  0.555
N  0.500  0.500  0.000
Pt  0.463  0.090  0.747
Y  0.112  0.031  0.258
Pt  0.963  0.410  0.247
Pt  0.037  0.590  0.753
Y  0.821  0.698  0.443
Y  0.679  0.198  0.057
N  0.000  0.000  0.500
Y  0.805  0.680  0.055